# 1
# Er7Ir2Pb2 PBE relaxed
data_Er7Ir2Pb2
_chemical_formula_sum 'Er14 Ir4 Pb4'
_symmetry_space_group_name_H-M 'C m m m'
_symmetry_Int_Tables_number 65
_symmetry_space_group_name_Hall '-C 2 2'
_cell_length_a 8.343
_cell_length_b 10.733
_cell_length_c 7.153
_cell_angle_alpha 90.00
_cell_angle_beta 90.00
_cell_angle_gamma 90.00
loop_
_atom_site_label
_atom_site_fract_x
_atom_site_fract_y
_atom_site_fract_z
_atom_site_occupancy
Er1 0.000 0.000 0.000 1
Er2 0.000 0.500 0.229 1
Er3 0.250 0.250 0.241 1
Ir1 0.000 0.283 0.000 1
Pb1 0.190 0.000 0.500 1
# * E_form: -494.7 meV per atom


# 2
# ScTcMo2 PBE relaxed
data_ScTcMo2
_chemical_formula_sum 'Sc4 Tc4 Mo8'
_symmetry_space_group_name_H-M 'I -4 2 d'
_symmetry_Int_Tables_number 122
_symmetry_space_group_name_Hall 'I -4 2bw'
_cell_length_a 7.340
_cell_length_b 7.340
_cell_length_c 5.376
_cell_angle_alpha 90.00
_cell_angle_beta 90.00
_cell_angle_gamma 90.00
loop_
_atom_site_label
_atom_site_fract_x
_atom_site_fract_y
_atom_site_fract_z
_atom_site_occupancy
Sc1 0.000 0.000 0.000 1
Tc1 0.000 0.000 0.500 1
Mo1 0.212 0.250 0.625 1
# * E above lowest polymorph: 0.623 eV per atom
# * E_form: 514.4 meV per atom


# 3
# AlRhBr2 PBE relaxed
data_AlRhBr2
_chemical_formula_sum 'Al3 Rh3 Br6'
_symmetry_space_group_name_H-M 'R 3 m'
_symmetry_Int_Tables_number 160
_symmetry_space_group_name_Hall 'R 3 -2"'
_cell_length_a 3.3877
_cell_length_b 3.3877
_cell_length_c 27.4565
_cell_angle_alpha 90.00
_cell_angle_beta 90.00
_cell_angle_gamma 120.00
loop_
_atom_site_label
_atom_site_fract_x
_atom_site_fract_y
_atom_site_fract_z
_atom_site_occupancy
Al1 0.0000 0.0000 0.0000 1
Rh1 0.0000 0.0000 0.2738 1
Br1 0.0000 0.0000 0.5401 1
Br2 0.0000 0.0000 0.7318 1
# * E above lowest polymorph: 0.040 eV per atom
# * E_form (uncorrected): -1.3 eV/f.u.


# 4
# Sm5Tc2Hg PBE relaxed
data_Sm5Tc2Hg
_chemical_formula_sum 'Sm20 Tc8 Hg4'
_symmetry_space_group_name_H-M 'I 4/m c m'
_symmetry_Int_Tables_number 140
_symmetry_space_group_name_Hall '-I 4 2c'
_cell_length_a 7.757
_cell_length_b 7.757
_cell_length_c 14.402
_cell_angle_alpha 90.00
_cell_angle_beta 90.00
_cell_angle_gamma 90.00
loop_
_atom_site_label
_atom_site_fract_x
_atom_site_fract_y
_atom_site_fract_z
_atom_site_occupancy
Sm1 0.000 0.000 0.000 1
Sm2 0.175 0.325 0.138 1
Tc1 0.112 0.388 0.500 1
Hg1 0.000 0.000 0.250 1
# * E_form: -111.1 meV per atom


# 5
# Ba2PrMnS5 PBE relaxed
data_Ba2PrMnS5
_chemical_formula_sum 'Ba8 Pr4 Mn4 S20'
_symmetry_space_group_name_H-M 'C m c 21'
_symmetry_Int_Tables_number 36
_symmetry_space_group_name_Hall 'C 2c -2'
_cell_length_a 4.234
_cell_length_b 18.204
_cell_length_c 13.072
_cell_angle_alpha 90.00
_cell_angle_beta 90.00
_cell_angle_gamma 90.00
loop_
_atom_site_label
_atom_site_fract_x
_atom_site_fract_y
_atom_site_fract_z
_atom_site_occupancy
Ba1 0.000 0.122 0.000 1
Ba2 0.000 0.125 0.648 1
Pr1 0.000 0.198 0.340 1
Mn1 0.000 0.443 0.726 1
S1 0.000 0.036 0.294 1
S2 0.000 0.303 0.983 1
S3 0.000 0.318 0.686 1
S4 0.000 0.348 0.324 1
S5 0.000 0.498 0.077 1
# * E_form (uncorrected): -14.8 eV/f.u.


# 6
# Ac8Tl2Rh PBE relaxed
data_Ac8Tl2Rh
_chemical_formula_sum 'Ac16 Tl4 Rh2'
_symmetry_space_group_name_H-M 'C 1 2/m 1'
_symmetry_Int_Tables_number 12
_symmetry_space_group_name_Hall '-C 2y'
_cell_length_a 20.361
_cell_length_b 5.282
_cell_length_c 7.954
_cell_angle_alpha 90.00
_cell_angle_beta 94.82
_cell_angle_gamma 90.00
loop_
_atom_site_label
_atom_site_fract_x
_atom_site_fract_y
_atom_site_fract_z
_atom_site_occupancy
Ac1 0.006 0.000 0.273 1
Ac2 0.095 0.500 0.995 1
Ac3 0.139 0.500 0.507 1
Ac4 0.215 0.000 0.822 1
Tl1 0.182 0.000 0.258 1
Rh1 0.000 0.500 0.500 1
# * E_form: -229.1 meV per atom


no.,V (Å³ per cell),total DFT energy (no corrections) (eV for the cell shown)
1,641,-125.041
2,290,-145.208
3,273,-47.343
4,866,-182.072
5,1007,-212.864
6,852,-94.943